No. 1
Density functional theory data (GGA-PBE) for MnP2Au after structural relaxation.

Cell: 3.0602 3.0725 6.1669 Å, 90.00 90.00 90.00°
Fractional coordinates of all 4 atoms:
Mn 0.0000 0.0000 0.0000
P 0.5000 0.5000 0.1958
P 0.5000 0.5000 0.8042
Au 0.0000 0.0000 0.5000

Computed properties:
SG	Pmmm, No. 47

---

No. 2
Density functional theory data (GGA-PBE) for MnP2Au after structural relaxation.

Cell: 7.9008 7.9008 7.9008 Å, 21.39 21.39 21.39°
Fractional coordinates of all 4 atoms:
Mn 0.0000 0.0000 0.0000
P 0.2659 0.2659 0.2659
P 0.7341 0.7341 0.7341
Au 0.5000 0.5000 0.5000

Computed properties:
SG	R-3m, No. 166

---

Number 1: magnetization 1.71 Bohr magnetons per cell, excess energy over the best structure of this formula in the dataset 353 meV per atom, formation enthalpy at 0 K 0.143 eV per atom. Number 2: magnetization 0.04 Bohr magnetons per cell, excess energy over the best structure of this formula in the dataset 241 meV per atom, formation enthalpy at 0 K 0.032 eV per atom.